*i*
Below is a relaxed structure of GdAgPbS3, with properties calculated at the PBE level.

```
GdAgPbS3
1.0
13.3695 0.0000 0.0000
0.0000 4.0957 0.0000
0.0000 0.0000 10.9782
S Pb Gd Ag
12 4 4 4
Direct
0.3604 0.7500 0.2672 S
0.8934 0.7500 0.6277 S
0.1066 0.2500 0.3723 S
0.6074 0.7500 0.4382 S
0.1396 0.2500 0.7672 S
0.8926 0.2500 0.9382 S
0.6066 0.2500 0.1277 S
0.8604 0.7500 0.2328 S
0.3926 0.2500 0.5618 S
0.6396 0.2500 0.7328 S
0.1074 0.7500 0.0618 S
0.3934 0.7500 0.8723 S
0.7431 0.7500 0.0237 Pb
0.7569 0.2500 0.5237 Pb
0.2431 0.7500 0.4763 Pb
0.2569 0.2500 0.9763 Pb
0.4872 0.2500 0.3368 Gd
0.5128 0.7500 0.6632 Gd
0.9872 0.2500 0.1632 Gd
0.0128 0.7500 0.8368 Gd
0.4802 0.7500 0.0888 Ag
0.0198 0.2500 0.5888 Ag
0.5198 0.2500 0.9112 Ag
0.9802 0.7500 0.4112 Ag
```

Summary:
Crystal system: orthorhombic
Space-group type: No. 62

*ii*
Below is a relaxed structure of GdAgPbS3, with properties calculated at the PBE level.

```
GdAgPbS3
1.0
8.1622 0.0000 0.0000
0.0000 4.1953 0.0000
0.0000 0.0000 16.1140
Ag S Pb Gd
4 12 4 4
Direct
0.1227 0.7500 0.8661 Ag
0.3773 0.2500 0.3661 Ag
0.8773 0.2500 0.1339 Ag
0.6227 0.7500 0.6339 Ag
0.8856 0.7500 0.5542 S
0.0355 0.7500 0.0884 S
0.1144 0.2500 0.4458 S
0.1813 0.7500 0.7087 S
0.3187 0.2500 0.2087 S
0.3856 0.7500 0.9458 S
0.9645 0.2500 0.9116 S
0.6813 0.7500 0.7913 S
0.6144 0.2500 0.0542 S
0.4645 0.2500 0.5884 S
0.8187 0.2500 0.2913 S
0.5355 0.7500 0.4116 S
0.0855 0.7500 0.2693 Pb
0.9145 0.2500 0.7307 Pb
0.4145 0.2500 0.7693 Pb
0.5855 0.7500 0.2307 Pb
0.2387 0.7500 0.5370 Gd
0.7613 0.2500 0.4630 Gd
0.7387 0.7500 0.9630 Gd
0.2613 0.2500 0.0370 Gd
```

Summary:
Crystal system: orthorhombic
Space-group type: No. 62

Most stable: *i* (next structure +0.027 eV/atom)

*i*
Below is a relaxed structure of GdAgPbS3, with properties calculated at the PBE level.

```
GdAgPbS3
1.0
6.6091 -2.0226 0.0000
6.6091 2.0226 0.0000
0.0000 0.0000 10.4673
Ag Pb S Gd
2 2 6 2
Direct
0.5334 0.5334 0.2500 Ag
0.4666 0.4666 0.7500 Ag
0.2485 0.2485 0.2500 Pb
0.7515 0.7515 0.7500 Pb
0.9119 0.9119 0.2500 S
0.6405 0.6405 0.4459 S
0.0881 0.0881 0.7500 S
0.3595 0.3595 0.9459 S
0.6405 0.6405 0.0541 S
0.3595 0.3595 0.5541 S
0.0000 0.0000 0.5000 Gd
0.0000 0.0000 0.0000 Gd
```

Summary:
Crystal system: orthorhombic
Space-group type: No. 63

*ii*
Below is a relaxed structure of GdAgPbS3, with properties calculated at the PBE level.

```
GdAgPbS3
1.0
4.1396 0.0000 0.0000
0.0000 11.6897 0.0000
0.0000 0.0000 11.7268
S Pb Ag Gd
12 4 4 4
Direct
0.2500 0.3283 0.7392 S
0.7500 0.6717 0.2608 S
0.7500 0.1539 0.9675 S
0.7500 0.8283 0.7608 S
0.7500 0.4345 0.0870 S
0.2500 0.8461 0.0325 S
0.7500 0.3461 0.4675 S
0.2500 0.1717 0.2392 S
0.2500 0.9345 0.4130 S
0.2500 0.5655 0.9130 S
0.2500 0.6539 0.5325 S
0.7500 0.0655 0.5870 S
0.2500 0.5153 0.3349 Pb
0.7500 0.4847 0.6651 Pb
0.2500 0.9847 0.8349 Pb
0.7500 0.0153 0.1651 Pb
0.7500 0.1924 0.7545 Ag
0.2500 0.6924 0.7455 Ag
0.7500 0.3076 0.2545 Ag
0.2500 0.8076 0.2455 Ag
0.7500 0.6711 0.0243 Gd
0.2500 0.3288 0.9757 Gd
0.2500 0.1712 0.4757 Gd
0.7500 0.8288 0.5243 Gd
```

Summary:
Crystal system: orthorhombic
Space-group type: No. 62

Most stable: *i* (next structure +0.012 eV/atom)

*i*
Below is a relaxed structure of GdAgPbSe3, with properties calculated at the PBE level.

```
GdAgPbSe3
1.0
-0.1605 -4.9164 -7.9245
-1.2295 -7.7129 -5.0985
-7.9960 3.3896 0.3293
Ag Gd Se Pb
2 2 6 2
Direct
0.4700 0.4700 0.2870 Ag
0.5300 0.5300 0.7130 Ag
0.8356 0.8356 0.4107 Gd
0.1644 0.1644 0.5893 Gd
0.6714 0.6714 0.3566 Se
0.3286 0.3286 0.6434 Se
0.6835 0.6835 0.8300 Se
0.0000 0.0000 0.5000 Se
0.5000 0.5000 0.0000 Se
0.3165 0.3165 0.1700 Se
0.1322 0.1322 0.0735 Pb
0.8678 0.8678 0.9265 Pb
```

Summary:
Crystal system: monoclinic
Space-group type: No. 12

*ii*
Below is a relaxed structure of GdAgPbSe3, with properties calculated at the PBE level.

```
GdAgPbSe3
1.0
8.5027 0.0000 0.0000
0.0000 4.3254 0.0000
0.0000 0.0000 16.7633
Gd Ag Se Pb
4 4 12 4
Direct
0.7509 0.2500 0.0329 Gd
0.2509 0.2500 0.4671 Gd
0.2491 0.7500 0.9671 Gd
0.7491 0.7500 0.5329 Gd
0.3761 0.2500 0.1385 Ag
0.6239 0.7500 0.8615 Ag
0.1239 0.7500 0.6385 Ag
0.8761 0.2500 0.3615 Ag
0.9701 0.2500 0.5879 Se
0.3896 0.7500 0.5579 Se
0.5299 0.7500 0.0879 Se
0.1104 0.2500 0.0579 Se
0.1896 0.7500 0.7939 Se
0.6896 0.7500 0.7061 Se
0.6104 0.2500 0.4421 Se
0.0299 0.7500 0.4121 Se
0.8104 0.2500 0.2061 Se
0.3104 0.2500 0.2939 Se
0.8896 0.7500 0.9421 Se
0.4701 0.2500 0.9121 Se
0.4284 0.2500 0.7240 Pb
0.0716 0.7500 0.2240 Pb
0.5716 0.7500 0.2760 Pb
0.9284 0.2500 0.7760 Pb
```

Summary:
Crystal system: orthorhombic
Space-group type: No. 62

Most stable: *i* (next structure +0.033 eV/atom)